No. 1
Density functional theory data (SCAN) for a PBEsol-optimized structure of CdRhPb2.

Summary:
The calculation puts the density of states at the Fermi level at 2.5 states/eV/cell. The symmetry is P4mm (99). The formation energy is 0.08 eV/f.u. For the energy, the calculation gives -1.9814 hartree per atom. For the size of the total moment, the calculation gives 0.0 μB per formula unit.

```
4
Lattice="3.245 0.000 0.000 0.000 3.245 0.000 0.000 0.000 8.466" Properties=species:S:1:pos:R:3 pbc="T T T"
Cd 0.000 0.000 0.000
Rh 1.622 1.622 6.864
Pb 0.000 0.000 5.192
Pb 1.622 1.622 2.346
```

No. 2
Density functional theory data (SCAN) for a PBEsol-optimized structure of Cd2Rh2Pb.

Summary:
The calculation puts the density of states at the Fermi level at 3.0 states/eV/cell. The symmetry is I4/mmm (139). The formation energy is 0.94 eV/f.u. For the energy, the calculation gives -1.4936 hartree per atom. For the size of the total moment, the calculation gives 0.0 μB per formula unit.

```
5
Lattice="-1.965 1.965 6.279 1.965 -1.965 6.279 1.965 1.965 -6.279" Properties=species:S:1:pos:R:3 pbc="T T T"
Cd 1.965 0.000 3.140
Cd 0.000 1.965 3.140
Rh 0.000 0.000 1.252
Rh 0.000 0.000 11.307
Pb 0.000 0.000 6.279
```

No. 3
Density functional theory data (SCAN) for a PBEsol-optimized structure of Cd2RhPb.

Summary:
The calculation puts the density of states at the Fermi level at 1.6 states/eV/cell. The symmetry is I4/mmm (139). The formation energy is 0.23 eV/f.u. For the energy, the calculation gives -1.5632 hartree per atom. For the size of the total moment, the calculation gives 0.0 μB per formula unit.

```
4
Lattice="-2.070 2.070 4.483 2.070 -2.070 4.483 2.070 2.070 -4.483" Properties=species:S:1:pos:R:3 pbc="T T T"
Cd 2.070 0.000 2.241
Cd 0.000 2.070 2.241
Rh 0.000 0.000 0.000
Pb 0.000 0.000 4.483
```

No. 4
Density functional theory data (SCAN) for a PBEsol-optimized structure of Cd2Rh2Pb.

Summary:
The calculation puts the density of states at the Fermi level at 5.7 states/eV/cell. The symmetry is P4/mbm (127). The formation energy is -0.36 eV/f.u. For the energy, the calculation gives -1.5031 hartree per atom. For the size of the total moment, the calculation gives 0.0 μB per formula unit.

```
10
Lattice="6.829 0.000 0.000 0.000 6.829 0.000 0.000 0.000 3.992" Properties=species:S:1:pos:R:3 pbc="T T T"
Cd 1.048 2.366 0.000
Cd 2.366 5.781 0.000
Cd 4.463 1.048 0.000
Cd 5.781 4.463 0.000
Rh 0.970 4.384 1.996
Rh 2.445 0.970 1.996
Rh 4.384 5.859 1.996
Rh 5.859 2.445 1.996
Pb 0.000 0.000 1.996
Pb 3.415 3.415 1.996
```

No. 5
Density functional theory data (SCAN) for a PBEsol-optimized structure of CdRhPb2.

Summary:
The calculation puts the density of states at the Fermi level at 2.2 states/eV/cell. The symmetry is Immm (71). The formation energy is -0.10 eV/f.u. For the energy, the calculation gives -1.9831 hartree per atom. For the size of the total moment, the calculation gives 0.0 μB per formula unit.

```
4
Lattice="-1.582 2.279 6.523 1.582 -2.279 6.523 1.582 2.279 -6.523" Properties=species:S:1:pos:R:3 pbc="T T T"
Cd 0.000 0.000 0.000
Rh 0.000 0.000 6.523
Pb 1.582 0.000 4.204
Pb 0.000 2.279 2.319
```

No. 6
Density functional theory data (SCAN) for a PBEsol-optimized structure of Cd2RhPb.

Summary:
The calculation puts the density of states at the Fermi level at 1.7 states/eV/cell. The symmetry is Imm2 (44). The formation energy is -0.25 eV/f.u. For the energy, the calculation gives -1.5676 hartree per atom. For the size of the total moment, the calculation gives 0.0 μB per formula unit.

```
4
Lattice="-1.530 2.260 6.349 1.530 -2.260 6.349 1.530 2.260 -6.349" Properties=species:S:1:pos:R:3 pbc="T T T"
Cd 0.000 0.000 0.000
Cd 0.000 2.260 2.119
Rh 0.000 0.000 6.193
Pb 1.530 0.000 3.882
```

No. 7
Density functional theory data (SCAN) for a PBEsol-optimized structure of CdTcRh2Pb.

Summary:
The calculation puts the density of states at the Fermi level at 2.1 states/eV/cell. The symmetry is P4/mmm (123). The formation energy is 8.59 eV/f.u. For the energy, the calculation gives -1.4715 hartree per atom. For the size of the total moment, the calculation gives 4.7 μB per formula unit.

```
5
Lattice="4.874 0.000 0.000 0.000 4.874 0.000 0.000 0.000 5.112" Properties=species:S:1:pos:R:3 pbc="T T T"
Cd 0.000 0.000 0.000
Tc 2.437 2.437 0.000
Rh 0.000 2.437 2.556
Rh 2.437 0.000 2.556
Pb 0.000 0.000 2.556
```

No. 8
Density functional theory data (SCAN) for a PBEsol-optimized structure of CdRuPb3.

Summary:
The calculation puts the density of states at the Fermi level at 3.9 states/eV/cell. The symmetry is Pm-3m (221). The formation energy is 1.41 eV/f.u. For the energy, the calculation gives -2.1401 hartree per atom. For the size of the total moment, the calculation gives 0.0 μB per formula unit.

```
5
Lattice="5.203 0.000 0.000 0.000 5.203 0.000 0.000 0.000 5.203" Properties=species:S:1:pos:R:3 pbc="T T T"
Cd 0.000 0.000 0.000
Ru 2.601 2.601 2.601
Pb 0.000 2.601 2.601
Pb 2.601 0.000 2.601
Pb 2.601 2.601 0.000
```